1.
Entry from OQMD: a relaxed structure of Pr4OsF5 (PBE).

```
10
Lattice="7.491 -2.003 0.000 7.491 2.003 0.000 -3.657 0.000 6.446" Properties=species:S:1:pos:R:3 pbc="T T T"
Pr 14.082 0.000 1.575
Pr -2.756 0.000 4.871
Pr 3.208 0.000 1.828
Pr 8.117 0.000 4.618
Os 5.663 0.000 3.223
F 1.126 0.000 3.252
F -0.269 0.000 5.745
F 7.491 0.000 0.000
F 11.595 0.000 0.701
F 10.200 0.000 3.194
```

Properties
- symmetry = C2/m (12)
- raw total energy (eV for the cell shown) = -64.9
- total moment (μB/f.u.) = 0.00



2.
Entry from OQMD: a relaxed structure of ReOs6F2 (PBE).

```
9
Lattice="3.914 -2.285 0.000 3.914 2.285 0.000 -2.050 0.000 7.362" Properties=species:S:1:pos:R:3 pbc="T T T"
Re 0.000 0.000 0.000
Os 0.081 0.000 4.049
Os 1.542 0.000 2.010
Os 0.563 0.000 6.770
Os 5.214 0.000 0.592
Os 4.236 0.000 5.351
Os 5.697 0.000 3.313
F 2.236 0.000 5.066
F 3.541 0.000 2.296
```

Properties
- symmetry = C2/m (12)
- raw total energy (eV for the cell shown) = -79.1
- total moment (μB/f.u.) = 0.02



3.
Entry from OQMD: a relaxed structure of Y4OsF4 (PBE).

```
18
Lattice="5.334 -5.262 0.000 5.334 5.262 0.000 -0.068 0.000 6.299" Properties=species:S:1:pos:R:3 pbc="T T T"
Y 2.193 0.794 3.100
Y 4.452 3.045 6.182
Y 2.159 -0.794 6.249
Y 6.114 3.045 3.267
Y 4.486 -3.045 3.033
Y 8.441 0.794 0.050
Y 6.148 -3.045 0.117
Y 8.407 -0.794 3.199
Os 5.317 5.123 1.575
Os 5.283 -5.123 4.724
F 4.001 2.108 3.840
F 3.195 1.251 0.539
F 3.161 -1.251 3.688
F 6.565 2.108 5.609
F 4.036 -2.108 0.691
F 7.439 1.251 2.611
F 7.405 -1.251 5.760
F 6.599 -2.108 2.459
```

Properties
- symmetry = C2/c (15)
- raw total energy (eV for the cell shown) = -131.9
- total moment (μB/f.u.) = 0.01



4.
Entry from OQMD: a relaxed structure of ZnPPbF (PBE).

```
8
Lattice="2.037 1.176 10.627 -2.037 1.176 10.627 0.000 -2.352 10.627" Properties=species:S:1:pos:R:3 pbc="T T T"
Zn 0.000 0.000 6.223
Zn 0.000 0.000 25.658
P 0.000 0.000 3.718
P 0.000 0.000 28.162
Pb 0.000 0.000 12.429
Pb 0.000 0.000 19.452
F 0.000 0.000 9.766
F 0.000 0.000 22.115
```

Properties
- symmetry = R-3m (166)
- energy above the lowest structure with this stoichiometry (kJ per mole of atoms) = 0.0
- raw total energy (eV for the cell shown) = -32.1



Question: raw total energy of number 1 (Pr4OsF5)?
Answer: -64.9 eV for the cell shown



Question: What is the raw total energy in the fourth record?
Answer: -32.1 eV for the cell shown



Copy entry 2 word for word.
Entry from OQMD: a relaxed structure of ReOs6F2 (PBE).

```
9
Lattice="3.914 -2.285 0.000 3.914 2.285 0.000 -2.050 0.000 7.362" Properties=species:S:1:pos:R:3 pbc="T T T"
Re 0.000 0.000 0.000
Os 0.081 0.000 4.049
Os 1.542 0.000 2.010
Os 0.563 0.000 6.770
Os 5.214 0.000 0.592
Os 4.236 0.000 5.351
Os 5.697 0.000 3.313
F 2.236 0.000 5.066
F 3.541 0.000 2.296
```

Properties
- symmetry = C2/m (12)
- raw total energy (eV for the cell shown) = -79.1
- total moment (μB/f.u.) = 0.02